(1)
Density functional theory data (PBE) for a relaxed structure of LaYTm2Se6.

The raw formation energy is -1.88 eV per atom. For the total DFT energy (no corrections), the calculation gives -6.000 eV/atom.

The structure belongs to space group R3 (No. 146, hexagonal axes); the cell edges are 7.2758, 7.2758 and 19.3374 Å and the angles 90.00°, 90.00° and 120.00°. The distinct sites, in fractional coordinates, are La at (0.0000, 0.0000, 0.0000), Y at (0.0000, 0.0000, 0.5083), Tm at (0.0000, 0.0000, 0.2020), Tm at (0.0000, 0.0000, 0.7064), Se at (0.0310, 0.3542, 0.7760) and Se at (0.0552, 0.7010, 0.2760).

---

(2)
Density functional theory data (PBE) for a relaxed structure of La2Y3TmSe6.

The raw formation energy is -1.82 eV per atom. For the total DFT energy (no corrections), the calculation gives -6.373 eV/atom.

The structure belongs to space group C2/m (No. 12); the cell edges are 18.087, 4.121 and 8.378 Å and the angles 90.00°, 103.36° and 90.00°. The distinct sites, in fractional coordinates, are La at (0.167, 0.000, 0.335), Y at (0.000, 0.500, 0.500), Y at (0.171, 0.000, 0.834), Tm at (0.000, 0.500, 0.000), Se at (0.005, 0.000, 0.758), Se at (0.162, 0.500, 0.594) and Se at (0.163, 0.500, 0.070).

---

(3)
Density functional theory data (PBE) for a relaxed structure of La2TmZnSe5.

The raw formation energy is -1.68 eV per atom. For the total DFT energy (no corrections), the calculation gives -5.353 eV/atom.

The structure belongs to space group Cmc2_1 (No. 36); the cell edges are 4.073, 17.811 and 12.581 Å and the angles 90.00°, 90.00° and 90.00°. The distinct sites, in fractional coordinates, are La at (0.000, 0.117, 0.000), La at (0.000, 0.129, 0.636), Tm at (0.000, 0.196, 0.332), Zn at (0.000, 0.448, 0.755), Se at (0.000, 0.039, 0.361), Se at (0.000, 0.293, 0.987), Se at (0.000, 0.312, 0.673), Se at (0.000, 0.354, 0.320) and Se at (0.000, 0.495, 0.081).

---

(4)
Density functional theory data (PBE) for a relaxed structure of LaU2Se5.

The raw formation energy is -1.44 eV per atom. For the total DFT energy (no corrections), the calculation gives -7.058 eV/atom.

The structure belongs to space group I4/mcm (No. 140); the cell edges are 7.632, 7.632 and 13.504 Å and the angles 90.00°, 90.00° and 90.00°. The distinct sites, in fractional coordinates, are La at (0.000, 0.000, 0.250), U at (0.147, 0.353, 0.000), Se at (0.000, 0.000, 0.000) and Se at (0.158, 0.342, 0.357).

---

(5)
Density functional theory data (PBE) for a relaxed structure of LaU3Se6.

The raw formation energy is -1.32 eV per atom. For the total DFT energy (no corrections), the calculation gives -7.289 eV/atom.

The structure belongs to space group P2_1/m (No. 11); the cell edges are 11.654, 4.111 and 12.070 Å and the angles 90.00°, 108.45° and 90.00°. The distinct sites, in fractional coordinates, are La at (0.049, 0.250, 0.195), U at (0.152, 0.250, 0.581), U at (0.320, 0.750, 0.007), U at (0.439, 0.250, 0.335), Se at (0.087, 0.750, 0.404), Se at (0.124, 0.250, 0.967), Se at (0.197, 0.750, 0.751), Se at (0.264, 0.750, 0.230), Se at (0.389, 0.250, 0.555) and Se at (0.493, 0.250, 0.120).

---

(6)
Density functional theory data (PBE) for a relaxed structure of LaU4Se8.

The raw formation energy is -1.28 eV per atom. For the total DFT energy (no corrections), the calculation gives -7.276 eV/atom.

The structure belongs to space group R-3m (No. 166, hexagonal axes); the cell edges are 8.1032, 8.1032 and 21.5800 Å and the angles 90.00°, 90.00° and 120.00°. The distinct sites, in fractional coordinates, are La at (0.0000, 0.0000, 0.0000), U at (0.0000, 0.0000, 0.5000), U at (0.0000, 0.5000, 0.5000), Se at (0.0000, 0.0000, 0.2405) and Se at (0.0012, 0.5006, 0.2453).